## Tl2SnGeS4 (PBE-GGA)

Data for crystalline Tl2SnGeS4 at its relaxed geometry.

Cell: 6.1743 8.5448 9.3465 Å, 90.00 90.00 90.00°
Last column: nearest neighbours and their distance in Å.
Element x y z (fractional)
Tl 0.4472 0.3421 0.2273  4 S 3.03-3.34
Tl 0.4472 0.3421 0.7727  4 S 3.03-3.34
Tl 0.9472 0.6579 0.7273  4 S 3.03-3.34
Tl 0.9472 0.6579 0.2727  4 S 3.03-3.34
Sn 0.9698 0.1961 0.5000  2 S 2.54-2.67
Sn 0.4698 0.8039 0.0000  2 S 2.54-2.67
Ge 0.5100 0.8906 0.5000  4 S 2.22-2.29
Ge 0.0100 0.1094 0.0000  4 S 2.22-2.29
S 0.3795 0.0943 0.0000  1 Ge 2.29, 1 Sn 2.54
S 0.8795 0.9057 0.5000  1 Ge 2.29, 1 Sn 2.54
S 0.3956 0.1448 0.5000  1 Ge 2.28
S 0.8956 0.8552 0.0000  1 Ge 2.28
S 0.4253 0.7572 0.6965  1 Ge 2.22
S 0.9253 0.2428 0.1965  1 Ge 2.22
S 0.9253 0.2428 0.8035  1 Ge 2.22
S 0.4253 0.7572 0.3035  1 Ge 2.22

Symmetry = No. 31
Total magnetic moment = 0.000 μB per cell

## TlSnGeS3 (PBE-GGA)

Data for crystalline TlSnGeS3 at its relaxed geometry.

Cell: 4.4720 8.7403 9.2436 Å, 96.71 90.00 90.00°
Last column: nearest neighbours and their distance in Å.
Element x y z (fractional)
Tl 0.2500 0.1513 0.1734  5 S 3.16-3.43
Tl 0.7500 0.8487 0.8266  5 S 3.16-3.43
Sn 0.2500 0.6061 0.1567  1 S 2.55
Sn 0.7500 0.3939 0.8433  1 S 2.55
Ge 0.2500 0.1097 0.5869  4 S 2.23-2.44
Ge 0.7500 0.8903 0.4131  4 S 2.23-2.44
S 0.7500 0.8532 0.1707  1 Ge 2.23
S 0.2500 0.1468 0.8293  1 Ge 2.23
S 0.2500 0.8386 0.5015  3 Ge 2.41-2.44
S 0.7500 0.1614 0.4985  3 Ge 2.41-2.44
S 0.7500 0.3936 0.1193  1 Sn 2.55
S 0.2500 0.6064 0.8807  1 Sn 2.55

Symmetry = No. 11
N(E_F) = 2.6 states/eV per cell
Total magnetic moment = 0.000 μB per cell

## Tl2SnGeS5 (PBE-GGA)

Data for crystalline Tl2SnGeS5 at its relaxed geometry.

Cell: 3.7107 9.5489 14.1035 Å, 90.00 90.00 101.20°
Last column: nearest neighbours and their distance in Å.
Element x y z (fractional)
Tl 0.8698 0.7396 0.8271  6 S 3.11-3.38
Tl 0.1234 0.2469 0.6689  3 S 3.07-3.36
Tl 0.1302 0.2604 0.3271  6 S 3.11-3.38
Tl 0.8766 0.7531 0.1689  3 S 3.07-3.36
Sn 0.7820 0.5639 0.5308  3 S 2.41-2.52
Sn 0.2180 0.4361 0.0308  3 S 2.41-2.52
Ge 0.5585 0.1170 0.9265  4 S 2.14-2.34
Ge 0.4415 0.8830 0.4265  4 S 2.14-2.34
S 0.3445 0.6890 0.0011  1 Sn 2.41
S 0.6798 0.3595 0.9005  1 Ge 2.30
S 0.5008 0.0017 0.7956  1 Ge 2.14
S 0.3019 0.6039 0.6485  2 Sn 2.52
S 0.9572 0.9145 0.5250  2 Ge 2.34
S 0.6555 0.3110 0.5011  1 Sn 2.41
S 0.3202 0.6405 0.4005  1 Ge 2.30
S 0.4992 0.9983 0.2956  1 Ge 2.14
S 0.6981 0.3961 0.1485  2 Sn 2.52
S 0.0428 0.0855 0.0250  2 Ge 2.34

Symmetry = No. 36
Total magnetic moment = 0.000 μB per cell

## TlSnGe2S6 (PBE-GGA)

Data for crystalline TlSnGe2S6 at its relaxed geometry.

Cell: 7.0495 8.6746 8.6746 Å, 81.01 76.67 76.67°
Last column: nearest neighbours and their distance in Å.
Element x y z (fractional)
Tl 0.2500 0.8410 0.1590  6 S 2.81-3.10
Tl 0.7500 0.1590 0.8410  6 S 2.81-3.10
Sn 0.2500 0.2673 0.7327  4 S 2.73-2.89
Sn 0.7500 0.7327 0.2673  4 S 2.73-2.89
Ge 0.2812 0.8032 0.6373  4 S 2.22-2.32
Ge 0.2188 0.3627 0.1968  4 S 2.22-2.32
Ge 0.7188 0.1968 0.3627  4 S 2.22-2.32
Ge 0.7812 0.6373 0.8032  4 S 2.22-2.32
S 0.1649 0.9703 0.8228  1 Ge 2.22
S 0.3351 0.1772 0.0297  1 Ge 2.22
S 0.8351 0.0297 0.1772  1 Ge 2.22
S 0.6649 0.8228 0.9703  1 Ge 2.22
S 0.3824 0.9369 0.4033  1 Ge 2.23
S 0.1176 0.5967 0.0631  1 Ge 2.23
S 0.6176 0.0631 0.5967  1 Ge 2.23
S 0.8824 0.4033 0.9369  1 Ge 2.23
S 0.0388 0.6860 0.5926  2 Ge 2.31-2.32
S 0.4612 0.4074 0.3140  2 Ge 2.31-2.32
S 0.9612 0.3140 0.4074  2 Ge 2.31-2.32
S 0.5388 0.5926 0.6860  2 Ge 2.31-2.32

Symmetry = No. 15
N(E_F) = 2.9 states/eV per cell
Total magnetic moment = 0.000 μB per cell

## Tm6SnGe2S3 (PBE-GGA)

Data for crystalline Tm6SnGe2S3 at its relaxed geometry.

Cell: 4.0007 8.1281 9.0340 Å, 103.46 102.79 90.00°
Last column: nearest neighbours and their distance in Å.
Element x y z (fractional)
Tm 0.3273 0.9102 0.6545  3 S 2.75-2.89, 2 Ge 2.83, 1 Sn 2.96
Tm 0.6694 0.5802 0.3388  3 Ge 2.83, 3 S 2.86-2.90
Tm 0.6727 0.0898 0.3455  3 S 2.75-2.89, 2 Ge 2.83, 1 Sn 2.96
Tm 0.9996 0.2678 0.9992  3 S 2.75-2.85, 1 Ge 2.84, 2 Sn 2.96
Tm 0.0004 0.7322 0.0008  3 S 2.75-2.85, 1 Ge 2.84, 2 Sn 2.96
Tm 0.3306 0.4198 0.6612  3 Ge 2.83, 3 S 2.86-2.90
Sn 0.5000 0.0000 0.0000  6 Tm 2.96
Ge 0.8345 0.6681 0.6690  6 Tm 2.83-2.84
Ge 0.1655 0.3319 0.3310  6 Tm 2.83-2.84
S 0.5000 0.5000 0.0000  6 Tm 2.75-2.90
S 0.8332 0.1689 0.6664  6 Tm 2.75-2.89
S 0.1668 0.8311 0.3336  6 Tm 2.75-2.89

Symmetry = No. 12
N(E_F) = 3.8 states/eV per cell
Total magnetic moment = 0.000 μB per cell

## Y6SnGe2S3 (PBE-GGA)

Data for crystalline Y6SnGe2S3 at its relaxed geometry.

Cell: 4.0651 8.2617 9.1837 Å, 103.54 102.79 90.00°
Last column: nearest neighbours and their distance in Å.
Element x y z (fractional)
Y 0.3276 0.9112 0.6551  3 S 2.80-2.93, 2 Ge 2.88, 1 Sn 3.00
Y 0.6688 0.5812 0.3375  3 Ge 2.88, 3 S 2.91-2.93
Y 0.6724 0.0888 0.3449  3 S 2.80-2.93, 2 Ge 2.88, 1 Sn 3.00
Y 0.9996 0.2669 0.9993  3 S 2.80-2.89, 1 Ge 2.89, 2 Sn 3.00
Y 0.0004 0.7331 0.0007  3 S 2.80-2.89, 1 Ge 2.89, 2 Sn 3.00
Y 0.3312 0.4188 0.6625  3 Ge 2.88, 3 S 2.91-2.93
Sn 0.5000 0.0000 0.0000  6 Y 3.00
Ge 0.8342 0.6676 0.6684  6 Y 2.88-2.89
Ge 0.1658 0.3324 0.3316  6 Y 2.88-2.89
S 0.5000 0.5000 0.0000  6 Y 2.80-2.93
S 0.8333 0.1686 0.6665  6 Y 2.80-2.93
S 0.1667 0.8314 0.3335  6 Y 2.80-2.93

Symmetry = No. 12
N(E_F) = 4.0 states/eV per cell
Total magnetic moment = 0.000 μB per cell

## Sr2GeS4 (PBE-GGA)

Data for crystalline Sr2GeS4 at its relaxed geometry.

Cell: 4.7881 4.7881 8.1604 Å, 72.94 72.94 90.00°
Last column: nearest neighbours and their distance in Å.
Element x y z (fractional)
Sr 0.3618 0.3618 0.2765  5 S 2.94-3.15
Sr 0.6382 0.6382 0.7235  5 S 2.94-3.15
Ge 0.0000 0.0000 0.0000  6 S 2.39-2.43
S 0.1635 0.1635 0.6731  1 Ge 2.43
S 0.8365 0.8365 0.3269  1 Ge 2.43
S 0.0000 0.5000 0.0000  2 Ge 2.39
S 0.5000 0.0000 0.0000  2 Ge 2.39

Energy above the most stable polymorph in this dataset = 263 meV per atom
Symmetry = No. 139
N(E_F) = 4.6 states/eV per cell
Total magnetic moment = 0.000 μB per cell

## Sr2GeS4 (PBE-GGA)

Data for crystalline Sr2GeS4 at its relaxed geometry.

Cell: 6.7701 6.7933 8.2839 Å, 72.04 90.00 90.00°
Last column: nearest neighbours and their distance in Å.
Element x y z (fractional)
Sr 0.7500 0.2383 0.5655  6 S 3.04-3.15
Sr 0.2500 0.7617 0.4345  6 S 3.04-3.15
Sr 0.7500 0.2780 0.0533  6 S 2.98-3.15
Sr 0.2500 0.7220 0.9467  6 S 2.98-3.15
Ge 0.7500 0.7304 0.1981  4 S 2.22-2.23
Ge 0.2500 0.2696 0.8019  4 S 2.22-2.23
S 0.5028 0.4904 0.7415  1 Ge 2.23
S 0.0028 0.5096 0.2585  1 Ge 2.23
S 0.4972 0.5096 0.2585  1 Ge 2.23
S 0.9972 0.4904 0.7415  1 Ge 2.23
S 0.7500 0.9225 0.3732  1 Ge 2.23
S 0.2500 0.0775 0.6268  1 Ge 2.23
S 0.2500 0.0950 0.0769  1 Ge 2.22
S 0.7500 0.9050 0.9231  1 Ge 2.22

Energy above the most stable polymorph in this dataset = 0 meV per atom
Symmetry = No. 11
N(E_F) = 0.0 states/eV per cell
Total magnetic moment = 0.000 μB per cell

## Sr2GeS (PBE-GGA)

Data for crystalline Sr2GeS at its relaxed geometry.

Cell: 8.0122 8.0122 7.0327 Å, 55.27 55.27 90.00°
Last column: nearest neighbours and their distance in Å.
Element x y z (fractional)
Sr 0.5930 0.1250 0.2500  2 S 2.85, 2 Ge 3.19
Sr 0.1570 0.6250 0.2500  2 S 2.85, 2 Ge 3.19
Sr 0.3750 0.4070 0.7500  2 S 2.85, 2 Ge 3.19
Sr 0.8750 0.8430 0.7500  2 S 2.85, 2 Ge 3.19
Ge 0.0000 0.0000 0.0000  4 Sr 3.19
Ge 0.7500 0.2500 0.5000  4 Sr 3.19
S 0.5000 0.5000 0.0000  4 Sr 2.85
S 0.2500 0.7500 0.5000  4 Sr 2.85

Energy above the most stable polymorph in this dataset = 0 meV per atom
Symmetry = No. 122
N(E_F) = 3.0 states/eV per cell
Total magnetic moment = 0.000 μB per cell

## SrGe3S (PBE-GGA)

Data for crystalline SrGe3S at its relaxed geometry.

Cell: 5.7417 5.7417 5.7417 Å, 90.00 90.00 90.00°
Last column: nearest neighbours and their distance in Å.
Element x y z (fractional)
Sr 0.0000 0.0000 0.0000  6 Ge 2.87
Ge 0.0000 0.5000 0.0000  2 Sr 2.87
Ge 0.0000 0.0000 0.5000  2 Sr 2.87
Ge 0.5000 0.0000 0.0000  2 Sr 2.87
S 0.5000 0.5000 0.5000  12 Ge 4.06

Energy above the most stable polymorph in this dataset = 1414 meV per atom
Symmetry = No. 221
N(E_F) = 6.9 states/eV per cell
Total magnetic moment = 1.952 μB per cell

Calculated V, 30.82; 29.90; 27.23; 24.96; 23.18; 24.33; 24.32; 25.89; 33.44; 37.86 Å³ per atom (same order as the records).
Calculated formation energy from raw total energies, -380; -305; -342; -248; -1342; -1409; -1142; -1405; -850; 1477 meV per atom (same order as the records).